# 1
This record from the Alexandria database describes crystalline LaZn2Co2 at its relaxed geometry. The functional is PBE-GGA.

Properties
For the offset from the most stable computed form, the calculation gives 0.0140 eV per atom. The formation energy comes out at -135 meV per atom.

a b c (Å): 4.077 4.077 10.327
angles (deg): 90.00 90.00 90.00
Space group I4/mmm (No. 139)
Symmetry-distinct sites (fractional):
La 0.000 0.000 0.000 [2 per cell]
Zn 0.000 0.500 0.250 [4 per cell]
Co 0.000 0.000 0.392 [4 per cell]


# 2
This record from the Alexandria database describes crystalline Ca2Al2Rh5Pb at its relaxed geometry. The functional is PBE-GGA.

Properties
The formation energy comes out at -593 meV per atom.

a b c (Å): 10.323 10.323 3.336
angles (deg): 90.00 90.00 90.00
Space group P4/mbm (No. 127)
Symmetry-distinct sites (fractional):
Ca 0.175 0.325 0.000 [4 per cell]
Al 0.123 0.623 0.000 [4 per cell]
Rh 0.000 0.500 0.500 [2 per cell]
Rh 0.067 0.790 0.500 [8 per cell]
Pb 0.000 0.000 0.000 [2 per cell]


# 3
This record from the Alexandria database describes crystalline ScInHg at its relaxed geometry. The functional is PBE-GGA.

Properties
For the offset from the most stable computed form, the calculation gives 0.0358 eV per atom. The formation energy comes out at -285 meV per atom.

a b c (Å): 4.503 5.535 6.236
angles (deg): 105.04 90.20 113.78
Space group P1 (No. 1)
Symmetry-distinct sites (fractional):
Sc 0.000 0.000 0.000 [1 per cell]
Sc 0.317 0.635 0.630 [1 per cell]
In 0.658 0.317 0.815 [1 per cell]
In 0.990 0.982 0.500 [1 per cell]
Hg 0.330 0.660 0.126 [1 per cell]
Hg 0.660 0.321 0.314 [1 per cell]